## BaAs2AuBr (GGA-PBE)

Data for an optimized crystal structure of BaAs2AuBr.

Geometry as CIF:
```
data_BaAs2AuBr
_space_group_name_H-M_alt 'P 4/m m m'
_space_group_IT_number 123
_space_group_name_Hall '-P 4 2'
_cell_length_a 6.621
_cell_length_b 6.621
_cell_length_c 6.081
_cell_angle_alpha 90.00
_cell_angle_beta 90.00
_cell_angle_gamma 90.00
loop_
_atom_site_label
_atom_site_type_symbol
_atom_site_fract_x
_atom_site_fract_y
_atom_site_fract_z
Ba1 Ba 0.000 0.000 0.000
As1 As 0.000 0.500 0.000
Au1 Au 0.500 0.500 0.500
Br1 Br 0.000 0.000 0.500
```

Summary:
Distance to the lowest polymorph of the same formula   5.13 eV/f.u.
Total energy   -2.543 eV/atom
Formation energy without anion corrections   0.69 eV per atom

***

## FeCuSi2 (GGA-PBE)

Data for an optimized crystal structure of FeCuSi2.

Geometry as CIF:
```
data_FeCuSi2
_space_group_name_H-M_alt 'P m m 2'
_space_group_IT_number 25
_cell_length_a 2.721
_cell_length_b 4.305
_cell_length_c 4.054
_cell_angle_alpha 90.00
_cell_angle_beta 90.00
_cell_angle_gamma 90.00
loop_
_space_group_symop_operation_xyz
'x,y,z'
'-x,-y,z'
'-x,y,z'
'x,-y,z'
loop_
_atom_site_label
_atom_site_type_symbol
_atom_site_fract_x
_atom_site_fract_y
_atom_site_fract_z
Fe1 Fe 0.000 0.000 0.000
Cu1 Cu 0.500 0.500 0.237
Si1 Si 0.000 0.500 0.741
Si2 Si 0.500 0.000 0.516
```

Summary:
Total energy   -5.937 eV/atom
Formation energy without anion corrections   -0.09 eV per atom

***

## YbDy3 (GGA-PBE)

Data for an optimized crystal structure of YbDy3.

Geometry as CIF:
```
data_YbDy3
_space_group_name_H-M_alt 'I 4/m m m'
_space_group_IT_number 139
_space_group_name_Hall '-I 4 2'
_cell_length_a 5.030
_cell_length_b 5.030
_cell_length_c 10.078
_cell_angle_alpha 90.00
_cell_angle_beta 90.00
_cell_angle_gamma 90.00
loop_
_atom_site_label
_atom_site_type_symbol
_atom_site_fract_x
_atom_site_fract_y
_atom_site_fract_z
Yb1 Yb 0.000 0.000 0.000
Dy1 Dy 0.000 0.000 0.500
Dy2 Dy 0.000 0.500 0.250
```

Summary:
Total energy   -3.816 eV/atom
Calculated formation energy   17 meV/atom

***

## LiHfPaO6 (GGA-PBE)

Data for an optimized crystal structure of LiHfPaO6.

Geometry as CIF:
```
data_LiHfPaO6
_space_group_name_H-M_alt 'P 3 1 2'
_space_group_IT_number 149
_cell_length_a 5.3011
_cell_length_b 5.3011
_cell_length_c 4.8984
_cell_angle_alpha 90.00
_cell_angle_beta 90.00
_cell_angle_gamma 120.00
loop_
_space_group_symop_operation_xyz
'x,y,z'
'-y,x-y,z'
'-x+y,-x,z'
'-y,-x,-z'
'-x+y,y,-z'
'x,x-y,-z'
loop_
_atom_site_label
_atom_site_type_symbol
_atom_site_fract_x
_atom_site_fract_y
_atom_site_fract_z
Li1 Li 0.0000 0.0000 0.0000
Hf1 Hf 0.6667 0.3333 0.0000
Pa1 Pa 0.3333 0.6667 0.5000
O1 O 0.3469 0.0032 0.2368
```

Summary:
Total energy   -8.329 eV/atom
Formation energy without anion corrections   -2.65 eV per atom

***

## PaMoPbN4 (GGA-PBE)

Data for an optimized crystal structure of PaMoPbN4.

Geometry as CIF:
```
data_PaMoPbN4
_space_group_name_H-M_alt 'P 1 21/m 1'
_space_group_IT_number 11
_cell_length_a 5.931
_cell_length_b 5.819
_cell_length_c 7.535
_cell_angle_alpha 90.00
_cell_angle_beta 107.72
_cell_angle_gamma 90.00
loop_
_space_group_symop_operation_xyz
'x,y,z'
'-x,-y,-z'
'-x,y+1/2,-z'
'x,-y+1/2,z'
loop_
_atom_site_label
_atom_site_type_symbol
_atom_site_fract_x
_atom_site_fract_y
_atom_site_fract_z
Pa1 Pa 0.198 0.250 0.463
Mo1 Mo 0.368 0.750 0.693
Pb1 Pb 0.019 0.750 0.133
N1 N 0.144 0.503 0.687
N2 N 0.308 0.250 0.191
N3 N 0.393 0.750 0.454
```

Summary:
Total energy   -8.685 eV/atom
Formation energy without anion corrections   -0.49 eV per atom

***

## K2GaPb2 (GGA-PBE)

Data for an optimized crystal structure of K2GaPb2.

Geometry as CIF:
```
data_K2GaPb2
_space_group_name_H-M_alt 'P 4/m b m'
_space_group_IT_number 127
_space_group_name_Hall '-P 4 2ab'
_cell_length_a 7.750
_cell_length_b 7.750
_cell_length_c 5.992
_cell_angle_alpha 90.00
_cell_angle_beta 90.00
_cell_angle_gamma 90.00
loop_
_atom_site_label
_atom_site_type_symbol
_atom_site_fract_x
_atom_site_fract_y
_atom_site_fract_z
K1 K 0.172 0.328 0.000
Ga1 Ga 0.000 0.000 0.500
Pb1 Pb 0.145 0.645 0.500
```

Summary:
Distance to the lowest polymorph of the same formula   0.00 eV/f.u.
Total energy   -2.585 eV/atom
Calculated formation energy   -57 meV/atom

***

## CaScCd4 (GGA-PBE)

Data for an optimized crystal structure of CaScCd4.

Geometry as CIF:
```
data_CaScCd4
_space_group_name_H-M_alt 'C 1 2/m 1'
_space_group_IT_number 12
_cell_length_a 12.323
_cell_length_b 3.423
_cell_length_c 7.058
_cell_angle_alpha 90.00
_cell_angle_beta 107.01
_cell_angle_gamma 90.00
loop_
_space_group_symop_operation_xyz
'x,y,z'
'-x,-y,-z'
'-x,y,-z'
'x,-y,z'
'x+1/2,y+1/2,z'
'-x+1/2,-y+1/2,-z'
'-x+1/2,y+1/2,-z'
'x+1/2,-y+1/2,z'
loop_
_atom_site_label
_atom_site_type_symbol
_atom_site_fract_x
_atom_site_fract_y
_atom_site_fract_z
Ca1 Ca 0.000 0.000 0.000
Sc1 Sc 0.000 0.000 0.500
Cd1 Cd 0.166 0.500 0.355
Cd2 Cd 0.180 0.500 0.821
```

Summary:
Distance to the lowest polymorph of the same formula   0.25 eV/f.u.
Total energy   -2.223 eV/atom
Calculated formation energy   -224 meV/atom

***

## Ce2PrSm6Dy3 (GGA-PBE)

Data for an optimized crystal structure of Ce2PrSm6Dy3.

Geometry as CIF:
```
data_Ce2PrSm6Dy3
_space_group_name_H-M_alt 'C 1 2/m 1'
_space_group_IT_number 12
_cell_length_a 6.226
_cell_length_b 10.791
_cell_length_c 11.928
_cell_angle_alpha 90.00
_cell_angle_beta 100.07
_cell_angle_gamma 90.00
loop_
_space_group_symop_operation_xyz
'x,y,z'
'-x,-y,-z'
'-x,y,-z'
'x,-y,z'
'x+1/2,y+1/2,z'
'-x+1/2,-y+1/2,-z'
'-x+1/2,y+1/2,-z'
'x+1/2,-y+1/2,z'
loop_
_atom_site_label
_atom_site_type_symbol
_atom_site_fract_x
_atom_site_fract_y
_atom_site_fract_z
Ce1 Ce 0.000 0.167 0.000
Pr1 Pr 0.000 0.500 0.000
Sm1 Sm 0.247 0.000 0.251
Sm2 Sm 0.247 0.168 0.749
Dy1 Dy 0.000 0.000 0.500
Dy2 Dy 0.000 0.333 0.500
```

Summary:
Total energy   -4.842 eV/atom
Calculated formation energy   56 meV/atom